A relaxed structure of NaTmCoS3, computed with PBE.

- Volume: 502.8 Å³ per cell
- Final energy: -130.2 eV per cell
- Size of the total moment: 2.95 μB/f.u.

Geometry as CIF:
```
data_NaTmCoS3
_cell_length_a 3.809
_cell_length_b 12.862
_cell_length_c 10.264
_cell_angle_alpha 90.00
_cell_angle_beta 90.00
_cell_angle_gamma 90.00
_space_group_name_H-M_alt 'C m c m'
_space_group_IT_number 63
_space_group_name_Hall '-C 2c 2'
loop_
_atom_site_label
_atom_site_type_symbol
_atom_site_fract_x
_atom_site_fract_y
_atom_site_fract_z
Na1 Na 0.000 0.246 0.250
Tm1 Tm 0.000 0.000 0.000
Co1 Co 0.000 0.472 0.750
S1 S 0.000 0.075 0.750
S2 S 0.000 0.367 0.575
```